## Ho2HgRuC (PBE)

Data for a relaxed Ho2HgRuC crystal.

a b c (Å): 4.9934 4.9934 3.9246
angles (deg): 90.00 90.00 90.00
Space group P4/mmm (No. 123)
Asymmetric unit:
Ho (0.0000, 0.5000, 0.0000) [2 per cell]
Hg (0.0000, 0.0000, 0.5000) [1 per cell]
Ru (0.5000, 0.5000, 0.5000) [1 per cell]
C (0.5000, 0.5000, 0.0000) [1 per cell]

Calculated values
The calculation puts the formation enthalpy at 0 K at -0.4658 eV per atom.

***

## CeZn4Si2 (PBE)

Data for a relaxed CeZn4Si2 crystal.

a b c (Å): 4.0270 14.6806 4.0292
angles (deg): 90.00 90.00 90.00
Space group Cmmm (No. 65)
Asymmetric unit:
Ce (0.0000, 0.0000, 0.0000) [2 per cell]
Zn (0.0000, 0.1835, 0.5000) [4 per cell]
Zn (0.0000, 0.3116, 0.0000) [4 per cell]
Si (0.0000, 0.4199, 0.5000) [4 per cell]

Calculated values
The value obtained for the uncorrected formation energy is -278 meV/atom.

***

## PuMg2Ag (PBE)

Data for a relaxed PuMg2Ag crystal.

a b c (Å): 3.1141 3.1141 9.0346
angles (deg): 90.00 90.00 90.00
Space group P4/mmm (No. 123)
Asymmetric unit:
Pu (0.0000, 0.0000, 0.0000) [1 per cell]
Mg (0.5000, 0.5000, 0.2903) [2 per cell]
Ag (0.0000, 0.0000, 0.5000) [1 per cell]

Calculated values
The calculation puts the formation enthalpy at 0 K at -0.0435 eV per atom.

***

## PmTh2Ru (PBE)

Data for a relaxed PmTh2Ru crystal.

a b c (Å): 3.6361 3.6361 8.4291
angles (deg): 90.00 90.00 90.00
Space group P4/mmm (No. 123)
Asymmetric unit:
Pm (0.0000, 0.0000, 0.0000) [1 per cell]
Th (0.5000, 0.5000, 0.3043) [2 per cell]
Ru (0.0000, 0.0000, 0.5000) [1 per cell]

Calculated values
The calculation puts the formation enthalpy at 0 K at -0.1002 eV per atom. The excess energy over the best structure of this formula in the dataset comes out at 18.2 kJ per mole of atoms.

***

## CuBi2O4 (PBE)

Data for a relaxed CuBi2O4 crystal.

a b c (Å): 8.4729 8.4729 6.0436
angles (deg): 90.00 90.00 90.00
Space group P4/ncc (No. 130, origin choice 2)
Asymmetric unit:
Cu (0.2500, 0.2500, 0.0759) [4 per cell]
Bi (0.0801, 0.5801, 0.2500) [8 per cell]
O (0.0412, 0.1513, 0.5896) [16 per cell]

Calculated values
The excess energy over the best structure of this formula in the dataset comes out at 0.0 kJ per mole of atoms. The value obtained for the uncorrected formation energy is -1049 meV/atom.

***

## MgTc2Sn2 (PBE)

Data for a relaxed MgTc2Sn2 crystal.

a b c (Å): 7.4074 7.4074 3.4167
angles (deg): 90.00 90.00 90.00
Space group P4/mbm (No. 127)
Asymmetric unit:
Mg (0.0000, 0.0000, 0.0000) [2 per cell]
Tc (0.1404, 0.3596, 0.0000) [4 per cell]
Sn (0.1563, 0.6563, 0.5000) [4 per cell]

Calculated values
The calculation puts the formation enthalpy at 0 K at 0.0936 eV per atom. The excess energy over the best structure of this formula in the dataset comes out at 0.0 kJ per mole of atoms.

***

## Tl2AgN (PBE)

Data for a relaxed Tl2AgN crystal.

a b c (Å): 6.9550 6.9550 6.9550
angles (deg): 90.00 90.00 90.00
Space group Fm-3m (No. 225)
Asymmetric unit:
Tl (0.2500, 0.2500, 0.2500) [8 per cell]
Ag (0.0000, 0.0000, 0.0000) [4 per cell]
N (0.0000, 0.0000, 0.5000) [4 per cell]

Calculated values
The excess energy over the best structure of this formula in the dataset comes out at 36.3 kJ per mole of atoms. The value obtained for the uncorrected formation energy is 1033 meV/atom.

***

## NaSrGa2Si2 (PBE)

Data for a relaxed NaSrGa2Si2 crystal.

a b c (Å): 4.1652 4.1652 9.4469
angles (deg): 90.00 90.00 120.00
Space group P-3m1 (No. 164)
Asymmetric unit:
Na (0.0000, 0.0000, 0.0000) [1 per cell]
Sr (0.0000, 0.0000, 0.5000) [1 per cell]
Ga (0.3333, 0.6667, 0.2449) [2 per cell]
Si (0.3333, 0.6667, 0.7491) [2 per cell]

Calculated values
The value obtained for the uncorrected formation energy is -258 meV/atom.